# 1
MgRuPb2 after structural relaxation, computed with PBE. Values from VASP.

The structure in Quantum ESPRESSO input format:
```
&SYSTEM
  ibrav = 0, nat = 4, ntyp = 3
/
ATOMIC_SPECIES
Mg 24.30 Mg.upf
Pb 207.20 Pb.upf
Ru 101.07 Ru.upf
CELL_PARAMETERS angstrom
5.6437 0.0010 0.0000
2.4179 5.0995 0.0000
-4.0308 -2.5503 3.0167
ATOMIC_POSITIONS crystal
Mg 0.7500 0.2500 0.5000
Pb 0.0000 0.0000 0.0000
Pb 0.2500 0.7500 0.5000
Ru 0.5000 0.5000 0.0000
```

# 2
Mg2RuPb after structural relaxation, computed with PBE. Values from VASP.

The structure in Quantum ESPRESSO input format:
```
&SYSTEM
  ibrav = 0, nat = 4, ntyp = 3
/
ATOMIC_SPECIES
Mg 24.30 Mg.upf
Pb 207.20 Pb.upf
Ru 101.07 Ru.upf
CELL_PARAMETERS angstrom
4.7469 0.0000 0.0000
2.3734 4.1109 0.0000
2.3734 1.3703 3.8758
ATOMIC_POSITIONS crystal
Mg 0.0000 0.0000 0.0000
Mg 0.7500 0.7500 0.7500
Pb 0.5000 0.5000 0.5000
Ru 0.2500 0.2500 0.2500
```

# 3
MgRuPb after structural relaxation, computed with PBE. Values from VASP.

The structure in Quantum ESPRESSO input format:
```
&SYSTEM
  ibrav = 0, nat = 3, ntyp = 3
/
ATOMIC_SPECIES
Mg 24.30 Mg.upf
Pb 207.20 Pb.upf
Ru 101.07 Ru.upf
CELL_PARAMETERS angstrom
-0.4088 0.3830 -4.4827
-0.3152 -3.7059 -2.5643
-3.9133 -1.0315 -2.0077
ATOMIC_POSITIONS crystal
Mg 0.0000 0.0000 0.0000
Pb 0.5000 0.5000 0.5000
Ru 0.7500 0.7500 0.7500
```

# 4
Mg2RuPb after structural relaxation, computed with PBE. Values from VASP.

The structure in Quantum ESPRESSO input format:
```
&SYSTEM
  ibrav = 0, nat = 4, ntyp = 3
/
ATOMIC_SPECIES
Mg 24.30 Mg.upf
Pb 207.20 Pb.upf
Ru 101.07 Ru.upf
CELL_PARAMETERS angstrom
3.5075 0.0000 0.0000
0.0000 3.5093 0.0000
0.0000 0.0000 6.3152
ATOMIC_POSITIONS crystal
Mg 0.0000 0.0000 0.9725
Mg 0.5000 0.5000 0.2330
Pb 0.0000 0.0000 0.5215
Ru 0.5000 0.5000 0.7729
```

# 5
MgRu2Pb2 after structural relaxation, computed with PBE. Values from VASP.

The structure in Quantum ESPRESSO input format:
```
&SYSTEM
  ibrav = 0, nat = 10, ntyp = 3
/
ATOMIC_SPECIES
Pb 207.20 Pb.upf
Ru 101.07 Ru.upf
Mg 24.30 Mg.upf
CELL_PARAMETERS angstrom
-4.7625 4.9325 3.3208
2.0695 -2.6137 6.8502
2.4763 2.3030 0.1306
ATOMIC_POSITIONS crystal
Pb 0.1591 0.6591 0.5000
Pb 0.6591 0.8409 0.5000
Pb 0.8409 0.3409 0.5000
Pb 0.3409 0.1591 0.5000
Ru 0.3602 0.8602 0.0000
Ru 0.8602 0.6398 0.0000
Ru 0.6398 0.1398 0.0000
Ru 0.1398 0.3602 0.0000
Mg 0.0000 0.0000 0.0000
Mg 0.5000 0.5000 0.0000
```

# 6
MgRuPb2 after structural relaxation, computed with PBE. Values from VASP.

The structure in Quantum ESPRESSO input format:
```
&SYSTEM
  ibrav = 0, nat = 4, ntyp = 3
/
ATOMIC_SPECIES
Mg 24.30 Mg.upf
Pb 207.20 Pb.upf
Ru 101.07 Ru.upf
CELL_PARAMETERS angstrom
-0.5071 -0.2864 3.3213
-0.3668 -3.3343 -0.3435
7.8241 -0.9751 1.1104
ATOMIC_POSITIONS crystal
Mg 0.5000 0.5000 0.7500
Pb 0.0000 0.0000 0.0392
Pb 0.0000 0.0000 0.4608
Ru 0.5000 0.5000 0.2500
```

# 7
MgRuPb2 after structural relaxation, computed with PBE. Values from VASP.

The structure in Quantum ESPRESSO input format:
```
&SYSTEM
  ibrav = 0, nat = 4, ntyp = 3
/
ATOMIC_SPECIES
Mg 24.30 Mg.upf
Pb 207.20 Pb.upf
Ru 101.07 Ru.upf
CELL_PARAMETERS angstrom
-4.1179 6.2202 -5.5434
-1.9997 4.6920 -7.7694
-5.0543 3.2929 -7.0702
ATOMIC_POSITIONS crystal
Mg 0.7500 0.7500 0.7500
Pb 0.9895 0.9895 0.9895
Pb 0.5105 0.5105 0.5105
Ru 0.2500 0.2500 0.2500
```

# 8
MgRuPb2 after structural relaxation, computed with PBE. Values from VASP.

The structure in Quantum ESPRESSO input format:
```
&SYSTEM
  ibrav = 0, nat = 4, ntyp = 3
/
ATOMIC_SPECIES
Mg 24.30 Mg.upf
Pb 207.20 Pb.upf
Ru 101.07 Ru.upf
CELL_PARAMETERS angstrom
-1.6857 2.6180 -3.4724
-1.5081 -2.8901 -1.4468
-5.1425 -0.5610 2.0736
ATOMIC_POSITIONS crystal
Mg 0.5000 0.5567 0.7604
Pb 0.0000 0.9717 0.9311
Pb 0.5000 0.2804 0.3144
Ru 0.0000 0.6912 0.4941
```

no.,E_tot (eV per atom),N(E_F) (states/eV/cell),total moment (μB per atom)
1,-4.198,4.20,0.080
2,-3.869,3.47,0.000
3,-4.646,1.60,0.000
4,-3.968,1.83,0.000
5,-5.250,6.10,0.000
6,-4.336,2.65,0.000
7,-4.303,2.71,0.000
8,-4.341,2.85,0.000